Entry 1:
DFT (PBE) results for a geometry-optimized Zn5Cd3Cl12 structure.

The structure belongs to space group Ia-3d (No. 230); the cell edges are 16.017, 16.017 and 16.017 Å and the angles 90.00°, 90.00° and 90.00°. The distinct sites, in fractional coordinates, are Zn at (0.000, 0.000, 0.000), Zn at (0.000, 0.250, 0.375), Cd at (0.000, 0.250, 0.125) and Cl at (0.037, 0.049, 0.646).

Its density of states at the Fermi level is 5.6 states/eV/f.u. As for the electronic total energy: -375.959 eV for the cell shown.

Entry 2:
DFT (PBE) results for a geometry-optimized LaPr2Sm2 structure.

The structure belongs to space group Immm (No. 71); the cell edges are 3.634, 5.864 and 16.741 Å and the angles 90.00°, 90.00° and 90.00°. The distinct sites, in fractional coordinates, are La at (0.000, 0.000, 0.000), Pr at (0.000, 0.500, 0.288) and Sm at (0.000, 0.000, 0.401).

Its density of states at the Fermi level is 6.9 states/eV/f.u. Its distance to the lowest polymorph of the same formula is 0.0000 eV/atom. As for the electronic total energy: -47.479 eV for the cell shown. The value obtained for the formation energy is 0.85 kcal/mol of atoms.

Entry 3:
DFT (PBE) results for a geometry-optimized VMo3Br structure.

The structure belongs to space group Pm-3m (No. 221); the cell edges are 4.617, 4.617 and 4.617 Å and the angles 90.00°, 90.00° and 90.00°. The distinct sites, in fractional coordinates, are V at (0.000, 0.000, 0.000), Mo at (0.000, 0.000, 0.500) and Br at (0.500, 0.500, 0.500).

Its density of states at the Fermi level is 7.3 states/eV/f.u. Its distance to the lowest polymorph of the same formula is 0.0000 eV/atom. As for the electronic total energy: -35.028 eV for the cell shown.

Entry 4:
DFT (PBE) results for a geometry-optimized NdNpS2O structure.

The structure belongs to space group P4/nmm (No. 129, origin choice 2); the cell edges are 3.927, 3.927 and 14.032 Å and the angles 90.00°, 90.00° and 90.00°. The distinct sites, in fractional coordinates, are Nd at (0.250, 0.250, 0.124), Np at (0.250, 0.250, 0.587), S at (0.250, 0.250, 0.318), S at (0.250, 0.250, 0.907) and O at (0.250, 0.750, 0.500).

Its density of states at the Fermi level is 6.1 states/eV/f.u. As for the electronic total energy: -83.889 eV for the cell shown.

Entry 5:
DFT (PBE) results for a geometry-optimized GaNF2 structure.

The structure belongs to space group I-42d (No. 122); the cell edges are 3.283, 3.283 and 14.455 Å and the angles 90.00°, 90.00° and 90.00°. The distinct sites, in fractional coordinates, are Ga at (0.000, 0.000, 0.000), N at (0.000, 0.000, 0.500) and F at (0.241, 0.250, 0.125).

Its density of states at the Fermi level is 0.2 states/eV/f.u. Its distance to the lowest polymorph of the same formula is 0.0000 eV/atom. As for the electronic total energy: -62.634 eV for the cell shown.

Entry 6:
DFT (PBE) results for a geometry-optimized TaIn5Rh6 structure.

The structure belongs to space group Cmmm (No. 65); the cell edges are 4.381, 13.134 and 7.025 Å and the angles 90.00°, 90.00° and 90.00°. The distinct sites, in fractional coordinates, are Ta at (0.000, 0.000, 0.000), In at (0.000, 0.000, 0.500), In at (0.000, 0.332, 0.000), In at (0.000, 0.335, 0.500), Rh at (0.000, 0.162, 0.245) and Rh at (0.000, 0.500, 0.232).

Its density of states at the Fermi level is 4.5 states/eV/f.u. As for the electronic total energy: -149.951 eV for the cell shown. The value obtained for the formation energy is -10.23 kcal/mol of atoms.